# 1
This record from Alexandria via LeMat-Bulk describes an optimized crystal structure of TmSc3Se. The functional is GGA-PBE.

Computed properties:
Magnetization (Bohr magnetons per cell): 0.00
Calculated total energy (hartree per atom): -0.216
ΔE_f (raw) (kJ/mol of formula units): -234
Mass density (g/cm3): 5.0

Unit cell a=7.2443 b=9.6587 c=7.3365 alpha=90.00 beta=90.00 gamma=90.00
With the nearest neighbours (Å) after each atom.
Space group Imma (No. 74)
Symmetry-distinct sites (fractional):
Tm: 0.0000 0.2500 0.0328 [4 per cell]  2 Se 2.75
Sc: 0.0000 0.2500 0.4840 [4 per cell]  2 Se 2.66
Sc: 0.2500 0.0217 0.2500 [8 per cell]  1 Se 2.62
Se: 0.2500 0.2500 0.7500 [4 per cell]  4 Sc 2.62-2.66, 2 Tm 2.75

# 2
This record from Alexandria via LeMat-Bulk describes an optimized crystal structure of Pa5Si2Ge. The functional is GGA-PBE.

Computed properties:
Magnetization (Bohr magnetons per cell): 0.00
Calculated total energy (hartree per atom): -0.297
ΔE_f (raw) (kJ/mol of formula units): -169
Mass density (g/cm3): 11.8

Unit cell a=3.1334 b=8.3274 c=13.8267 alpha=90.00 beta=90.00 gamma=90.00
With the nearest neighbours (Å) after each atom.
Space group Immm (No. 71)
Symmetry-distinct sites (fractional):
Pa: 0.0000 0.0000 0.0000 [2 per cell]  2 Si 3.04, 10 Pa 3.13-3.22
Pa: 0.0000 0.2391 0.3713 [8 per cell]  3 Si 2.89-2.96, 2 Ge 3.10, 4 Pa 3.13-3.22
Si: 0.0000 0.0000 0.2199 [4 per cell]  7 Pa 2.89-3.04, 2 Si 3.13
Ge: 0.0000 0.5000 0.0000 [2 per cell]  8 Pa 3.10, 2 Ge 3.13